! HfInNiAu (GGA-PBE, optimized geometry); values from VASP
! total DFT energy (no corrections) = -22.20 eV per formula unit
&SYSTEM
  ibrav = 0, nat = 4, ntyp = 4
/
ATOMIC_SPECIES
Ni 58.69 Ni.upf
Au 196.97 Au.upf
Hf 178.49 Hf.upf
In 114.82 In.upf
ATOMIC_POSITIONS angstrom
Ni -7.483 2.333 -3.312
Au -4.989 1.555 -2.208
Hf -2.494 0.778 -1.104
In 0.000 0.000 0.000
CELL_PARAMETERS angstrom
-4.026 2.118 0.872
-2.055 2.517 -3.301
-3.897 -1.525 -1.986